(1)
{"formula": "YAl2In", "functional": "GGA-PBE", "state": "optimized geometry", "cell": [[3.312, 0.000, 0.000], [0.000, 4.674, 0.000], [0.000, 0.000, 5.857]], "species": ["Y", "Al", "Al", "In"], "fractional_positions": [[0.000, 0.000, 0.000], [0.500, 0.500, 0.228], [0.500, 0.500, 0.772], [0.500, 0.000, 0.500]], "formation_enthalpy_0k_ev_per_atom": -0.2183}

(2)
{"formula": "TiPbS2", "functional": "GGA-PBE", "state": "optimized geometry", "cell": [[-3.179, 3.179, 5.405], [3.179, -3.179, 5.405], [3.179, 3.179, -5.405]], "species": ["Ti", "Ti", "Pb", "Pb", "S", "S", "S", "S"], "fractional_positions": [[0.000, 0.000, 0.000], [0.750, 0.250, 0.500], [0.250, 0.750, 0.500], [0.500, 0.500, 0.000], [0.046, 0.625, 0.921], [0.375, 0.296, 0.421], [0.704, 0.125, 0.079], [0.875, 0.954, 0.579]], "formation_energy_uncorrected_mev_per_atom": -639}

(3)
{"formula": "NaCa2I", "functional": "GGA-PBE", "state": "optimized geometry", "cell": [[1.980, 1.143, 12.054], [-1.980, 1.143, 12.054], [0.000, -2.286, 12.054]], "species": ["Na", "Ca", "Ca", "I"], "fractional_positions": [[0.000, 0.000, 0.000], [0.099, 0.099, 0.099], [0.901, 0.901, 0.901], [0.500, 0.500, 0.500]], "formation_energy_uncorrected_mev_per_atom": -366}

(4)
{"formula": "SrAgAu3", "functional": "GGA-PBE", "state": "optimized geometry", "cell": [[5.175, 0.000, 0.000], [0.000, 5.175, 0.000], [0.000, 0.000, 5.175]], "species": ["Sr", "Ag", "Au", "Au", "Au"], "fractional_positions": [[0.000, 0.000, 0.000], [0.500, 0.500, 0.500], [0.000, 0.500, 0.500], [0.500, 0.000, 0.500], [0.500, 0.500, 0.000]], "formation_enthalpy_0k_ev_per_atom": -0.1033}

(5)
{"formula": "KCuNiC", "functional": "GGA-PBE", "state": "optimized geometry", "cell": [[3.648, 0.000, 0.000], [0.000, 5.493, 0.000], [-0.363, 0.000, 3.782]], "species": ["K", "Cu", "Ni", "C"], "fractional_positions": [[0.000, 0.000, 0.000], [0.505, 0.500, 0.007], [0.008, 0.500, 0.506], [0.508, 0.500, 0.508]], "formation_enthalpy_0k_ev_per_atom": 0.3862}

(6)
{"formula": "TbPr3Zn", "functional": "GGA-PBE", "state": "optimized geometry", "cell": [[6.026, -4.589, 0.000], [6.026, 4.589, 0.000], [-5.200, 0.000, 6.028]], "species": ["Tb", "Tb", "Pr", "Pr", "Pr", "Pr", "Pr", "Pr", "Zn", "Zn"], "fractional_positions": [[0.062, 0.062, 0.263], [0.938, 0.938, 0.737], [0.036, 0.420, 0.757], [0.420, 0.036, 0.757], [0.445, 0.445, 0.675], [0.555, 0.555, 0.325], [0.580, 0.964, 0.243], [0.964, 0.580, 0.243], [0.244, 0.244, 0.119], [0.756, 0.756, 0.881]], "formation_enthalpy_0k_ev_per_atom": 0.0548}

(7)
{"formula": "SmYMgRu", "functional": "GGA-PBE", "state": "optimized geometry", "cell": [[3.489, 0.000, 0.000], [0.000, 3.489, 0.000], [0.000, 0.000, 8.122]], "species": ["Sm", "Y", "Mg", "Ru"], "fractional_positions": [[0.000, 0.000, 0.000], [0.000, 0.000, 0.589], [0.500, 0.500, 0.300], [0.500, 0.500, 0.791]], "formation_enthalpy_0k_ev_per_atom": -0.2293}

(8)
{"formula": "La3Pr13", "functional": "GGA-PBE", "state": "optimized geometry", "cell": [[10.571, 0.000, 0.000], [0.000, 5.245, 5.249], [0.000, -5.245, 5.249]], "species": ["La", "La", "La", "Pr", "Pr", "Pr", "Pr", "Pr", "Pr", "Pr", "Pr", "Pr", "Pr", "Pr", "Pr", "Pr"], "fractional_positions": [[0.000, 0.000, 0.000], [0.250, 0.251, 0.251], [0.750, 0.251, 0.251], [0.000, 0.000, 0.501], [0.000, 0.501, 0.000], [0.000, 0.501, 0.501], [0.251, 0.251, 0.750], [0.251, 0.750, 0.251], [0.251, 0.750, 0.750], [0.500, 0.001, 0.001], [0.500, 0.001, 0.501], [0.500, 0.501, 0.001], [0.500, 0.501, 0.501], [0.749, 0.251, 0.750], [0.749, 0.750, 0.251], [0.749, 0.750, 0.750]], "formation_enthalpy_0k_ev_per_atom": 0.0107}

(9)
{"formula": "ZrFeAsSe2", "functional": "GGA-PBE", "state": "optimized geometry", "cell": [[5.157, 0.000, 0.000], [0.000, 5.157, 0.000], [0.000, 0.000, 5.246]], "species": ["Zr", "Fe", "As", "Se", "Se"], "fractional_positions": [[0.000, 0.000, 0.000], [0.500, 0.500, 0.500], [0.000, 0.000, 0.500], [0.000, 0.500, 0.000], [0.500, 0.000, 0.000]], "formation_energy_uncorrected_mev_per_atom": 343}

(10)
{"formula": "TlC", "functional": "GGA-PBE", "state": "optimized geometry", "cell": [[2.816, 0.000, 0.000], [-1.408, 2.439, 0.000], [0.000, 0.000, 25.479]], "species": ["Tl", "Tl", "Tl", "Tl", "C", "C", "C", "C"], "fractional_positions": [[0.333, 0.667, 0.084], [0.333, 0.667, 0.416], [0.667, 0.333, 0.584], [0.667, 0.333, 0.916], [0.000, 0.000, 0.250], [0.000, 0.000, 0.750], [0.333, 0.667, 0.750], [0.667, 0.333, 0.250]], "formation_enthalpy_0k_ev_per_atom": 1.0369}

(11)
{"formula": "PrTl2Zn2Se4", "functional": "GGA-PBE", "state": "optimized geometry", "cell": [[7.715, -2.061, 0.000], [7.715, 2.061, 0.000], [-2.326, 0.000, 7.863]], "species": ["Pr", "Tl", "Tl", "Zn", "Zn", "Se", "Se", "Se", "Se"], "fractional_positions": [[0.000, 0.000, 0.000], [0.130, 0.130, 0.534], [0.870, 0.870, 0.466], [0.330, 0.330, 0.024], [0.670, 0.670, 0.976], [0.204, 0.204, 0.170], [0.477, 0.477, 0.250], [0.523, 0.523, 0.750], [0.796, 0.796, 0.830]], "formation_energy_uncorrected_mev_per_atom": -796}

(12)
{"formula": "NpBePt2", "functional": "GGA-PBE", "state": "optimized geometry", "cell": [[2.032, 1.173, 4.928], [-2.032, 1.173, 4.928], [0.000, -2.346, 4.928]], "species": ["Np", "Be", "Pt", "Pt"], "fractional_positions": [[0.000, 0.000, 0.000], [0.500, 0.500, 0.500], [0.218, 0.218, 0.218], [0.782, 0.782, 0.782]], "formation_enthalpy_0k_ev_per_atom": -0.5354}

(13)
{"formula": "NdH8Rh2Pb", "functional": "GGA-PBE", "state": "optimized geometry", "cell": [[2.116, 1.222, 8.603], [-2.116, 1.222, 8.603], [0.000, -2.443, 8.603]], "species": ["Nd", "H", "H", "H", "H", "H", "H", "H", "H", "Rh", "Rh", "Pb"], "fractional_positions": [[0.000, 0.000, 0.000], [0.083, 0.530, 0.530], [0.185, 0.185, 0.185], [0.470, 0.470, 0.917], [0.470, 0.917, 0.470], [0.530, 0.083, 0.530], [0.530, 0.530, 0.083], [0.815, 0.815, 0.815], [0.917, 0.470, 0.470], [0.251, 0.251, 0.251], [0.749, 0.749, 0.749], [0.500, 0.500, 0.500]], "final_energy_ry_per_atom": -0.3072}

(14)
{"formula": "CaCd12Sn6", "functional": "GGA-PBE", "state": "optimized geometry", "cell": [[6.831, 3.944, 3.190], [-6.831, 3.944, 3.190], [0.000, -7.887, 3.190]], "species": ["Ca", "Cd", "Cd", "Cd", "Cd", "Cd", "Cd", "Cd", "Cd", "Cd", "Cd", "Cd", "Cd", "Sn", "Sn", "Sn", "Sn", "Sn", "Sn"], "fractional_positions": [[0.000, 0.000, 0.000], [0.104, 0.500, 0.896], [0.104, 0.896, 0.500], [0.147, 0.370, 0.370], [0.370, 0.147, 0.370], [0.370, 0.370, 0.147], [0.500, 0.104, 0.896], [0.500, 0.896, 0.104], [0.630, 0.630, 0.853], [0.630, 0.853, 0.630], [0.853, 0.630, 0.630], [0.896, 0.104, 0.500], [0.896, 0.500, 0.104], [0.250, 0.698, 0.698], [0.302, 0.302, 0.750], [0.302, 0.750, 0.302], [0.698, 0.250, 0.698], [0.698, 0.698, 0.250], [0.750, 0.302, 0.302]], "formation_enthalpy_0k_ev_per_atom": 0.0294}

(15)
{"formula": "PmSiPd6", "functional": "GGA-PBE", "state": "optimized geometry", "cell": [[2.872, 1.658, 5.469], [-2.872, 1.658, 5.469], [0.000, -3.317, 5.469]], "species": ["Pm", "Si", "Pd", "Pd", "Pd", "Pd", "Pd", "Pd"], "fractional_positions": [[0.000, 0.000, 0.000], [0.500, 0.500, 0.500], [0.059, 0.592, 0.592], [0.408, 0.408, 0.941], [0.408, 0.941, 0.408], [0.592, 0.059, 0.592], [0.592, 0.592, 0.059], [0.941, 0.408, 0.408]], "formation_energy_uncorrected_mev_per_atom": -419}

(16)
{"formula": "Mo2Se", "functional": "GGA-PBE", "state": "optimized geometry", "cell": [[4.323, 0.000, 0.000], [-2.162, 3.744, 0.000], [0.000, 0.000, 6.507]], "species": ["Mo", "Mo", "Mo", "Mo", "Se", "Se"], "fractional_positions": [[0.333, 0.667, 0.048], [0.333, 0.667, 0.452], [0.667, 0.333, 0.548], [0.667, 0.333, 0.952], [0.000, 0.000, 0.250], [0.000, 0.000, 0.750]], "formation_energy_uncorrected_mev_per_atom": 607}

(17)
{"formula": "HfTiC2", "functional": "GGA-PBE", "state": "optimized geometry", "cell": [[-2.438, 2.438, 4.914], [2.438, -2.438, 4.914], [2.438, 2.438, -4.914]], "species": ["Hf", "Hf", "Ti", "Ti", "C", "C", "C", "C"], "fractional_positions": [[0.000, 0.000, 0.000], [0.750, 0.250, 0.500], [0.250, 0.750, 0.500], [0.500, 0.500, 0.000], [0.145, 0.625, 0.020], [0.375, 0.395, 0.520], [0.605, 0.125, 0.980], [0.875, 0.855, 0.480]], "formation_enthalpy_0k_ev_per_atom": -0.2044}

(18)
{"formula": "PmH2Pt", "functional": "GGA-PBE", "state": "optimized geometry", "cell": [[3.540, 0.000, 0.000], [0.000, 3.724, 0.000], [-0.014, 0.000, 3.865]], "species": ["Pm", "H", "H", "Pt"], "fractional_positions": [[0.000, 0.000, 0.000], [0.500, 0.000, 0.500], [0.500, 0.500, 0.000], [0.500, 0.500, 0.500]], "final_energy_ry_per_atom": -0.3680}